PBE with a Hubbard U Ba3Mn2CrO6, relaxed; magnetic moment = 13.82 μB per formula unit; uncorrected energy = -6.755 eV per atom
1.0
5.9551 0.0000 0.0000
-2.9776 5.1573 0.0000
0.0000 0.0000 6.9473
Ba Mn Cr O
3 2 1 6
Cartesian
0.0000 0.0000 0.0000
0.0000 3.4382 4.4307
2.9776 1.7191 2.5166
0.0000 3.4382 1.3246
2.9776 1.7191 5.6227
0.0000 0.0000 3.4737
0.0000 1.6634 2.2224
-1.5370 4.3256 2.2224
1.4406 0.8317 4.7249
1.5370 4.3256 2.2224
4.5145 0.8317 4.7249
2.9776 3.4938 4.7249